# 1
# ScSb2ICl

Crystalline ScSb2ICl at its relaxed geometry (PBEsol, Alexandria). Values from VASP.

Quantum ESPRESSO input file:
```
&SYSTEM
  ibrav = 0, nat = 5, ntyp = 4
/
ATOMIC_SPECIES
Sc 44.96 Sc.upf
Sb 121.76 Sb.upf
I 126.90 I.upf
Cl 35.45 Cl.upf
CELL_PARAMETERS angstrom
5.449 0.000 0.000
0.000 5.449 0.000
0.000 0.000 5.384
ATOMIC_POSITIONS angstrom
Sc 0.000 0.000 0.000
Sb 0.000 2.725 0.000
Sb 2.725 0.000 0.000
I 0.000 0.000 2.692
Cl 2.725 2.725 2.692
```

## Properties
**Volume**: 159.9 Å³ per cell
**Formation energy without anion corrections**: -0.07 eV per atom
**Theoretical density**: 4.68 g/cm³

---

# 2
# DyNiGe2

Crystalline DyNiGe2 at its relaxed geometry (PBEsol, Alexandria). Values from VASP.

Quantum ESPRESSO input file:
```
&SYSTEM
  ibrav = 0, nat = 16, ntyp = 3
/
ATOMIC_SPECIES
Dy 162.50 Dy.upf
Ni 58.69 Ni.upf
Ge 72.64 Ge.upf
CELL_PARAMETERS angstrom
-2.053 4.201 7.864
2.053 -4.201 7.864
2.053 4.201 -7.864
ATOMIC_POSITIONS angstrom
Dy 0.000 0.000 3.218
Dy 0.000 2.028 0.000
Dy 0.000 6.374 0.000
Dy 0.000 0.000 12.509
Ni 2.053 2.093 -2.328
Ni 2.053 2.093 2.328
Ni 0.000 2.108 5.536
Ni 0.000 2.108 10.191
Ge 2.053 0.000 1.212
Ge 2.053 -1.324 4.781
Ge 0.000 0.000 6.602
Ge 2.053 1.324 4.781
Ge 0.000 2.877 3.083
Ge 0.000 0.000 9.125
Ge 0.000 5.525 3.083
Ge 0.000 4.201 6.651
```

## Properties
**Volume**: 271.3 Å³ per cell
**Energy relative to the elements**: -778 meV/atom
**Theoretical density**: 8.97 g/cm³

---

# 3
# ReSbRu

Crystalline ReSbRu at its relaxed geometry (PBEsol, Alexandria). Values from VASP.

Quantum ESPRESSO input file:
```
&SYSTEM
  ibrav = 0, nat = 3, ntyp = 3
/
ATOMIC_SPECIES
Re 186.21 Re.upf
Sb 121.76 Sb.upf
Ru 101.07 Ru.upf
CELL_PARAMETERS angstrom
0.000 3.009 3.009
3.009 0.000 3.009
3.009 3.009 0.000
ATOMIC_POSITIONS angstrom
Re 0.000 0.000 0.000
Sb 3.009 3.009 3.009
Ru 4.513 4.513 4.513
```

## Properties
**Volume**: 54.5 Å³ per cell
**Formation energy without anion corrections**: 0.42 eV per atom
**Theoretical density**: 12.47 g/cm³

---

# 4
# CaFeSi

Crystalline CaFeSi at its relaxed geometry (PBEsol, Alexandria). Values from VASP.

Quantum ESPRESSO input file:
```
&SYSTEM
  ibrav = 0, nat = 3, ntyp = 3
/
ATOMIC_SPECIES
Ca 40.08 Ca.upf
Fe 55.84 Fe.upf
Si 28.09 Si.upf
CELL_PARAMETERS angstrom
0.000 2.974 2.974
2.974 0.000 2.974
2.974 2.974 0.000
ATOMIC_POSITIONS angstrom
Ca 0.000 0.000 0.000
Fe 4.461 4.461 4.461
Si 2.974 2.974 2.974
```

## Properties
**Volume**: 52.6 Å³ per cell
**Formation energy without anion corrections**: 0.31 eV per atom
**Theoretical density**: 3.91 g/cm³

---

# 5
# LiAs2Cl

Crystalline LiAs2Cl at its relaxed geometry (PBEsol, Alexandria). Values from VASP.

Quantum ESPRESSO input file:
```
&SYSTEM
  ibrav = 0, nat = 4, ntyp = 3
/
ATOMIC_SPECIES
Li 6.94 Li.upf
As 74.92 As.upf
Cl 35.45 Cl.upf
CELL_PARAMETERS angstrom
3.668 0.000 0.000
-1.834 3.177 0.000
0.000 0.000 7.708
ATOMIC_POSITIONS angstrom
Li 0.000 0.000 0.000
As 0.000 0.000 4.915
As 1.834 1.059 3.562
Cl 0.000 2.118 0.726
```

## Properties
**Volume**: 89.8 Å³ per cell
**Formation energy without anion corrections**: -0.79 eV per atom
**Theoretical density**: 3.55 g/cm³

---

# 6
# IrRu2W

Crystalline IrRu2W at its relaxed geometry (PBEsol, Alexandria). Values from VASP.

Quantum ESPRESSO input file:
```
&SYSTEM
  ibrav = 0, nat = 4, ntyp = 3
/
ATOMIC_SPECIES
Ir 192.22 Ir.upf
Ru 101.07 Ru.upf
W 183.84 W.upf
CELL_PARAMETERS angstrom
-1.915 1.915 3.827
1.915 -1.915 3.827
1.915 1.915 -3.827
ATOMIC_POSITIONS angstrom
Ir 0.000 0.000 0.000
Ru 0.000 0.000 3.827
Ru 0.000 1.915 1.914
W 1.915 0.000 1.914
```

## Properties
**Volume**: 56.1 Å³ per cell
**Energy relative to the elements**: -129 meV/atom
**Theoretical density**: 17.10 g/cm³

---

# 7
# BaAlBO3F2

Crystalline BaAlBO3F2 at its relaxed geometry (PBEsol, Alexandria). Values from VASP.

Quantum ESPRESSO input file:
```
&SYSTEM
  ibrav = 0, nat = 16, ntyp = 5
/
ATOMIC_SPECIES
Ba 137.33 Ba.upf
Al 26.98 Al.upf
B 10.81 B.upf
O 16.00 O.upf
F 19.00 F.upf
CELL_PARAMETERS angstrom
4.879 0.000 0.000
-2.439 4.225 0.000
0.000 0.000 9.343
ATOMIC_POSITIONS angstrom
Ba 0.000 0.000 0.000
Ba 0.000 0.000 4.671
Al 0.000 2.817 2.336
Al 2.439 1.408 7.007
B 0.000 2.817 7.007
B 2.439 1.408 2.336
O -0.650 1.602 7.007
O -0.727 3.987 7.007
O 1.713 0.238 2.336
O 1.377 2.861 7.007
O 1.789 2.623 2.336
O 3.816 1.364 2.336
F 0.000 2.817 0.493
F 0.000 2.817 4.179
F 2.439 1.408 5.164
F 2.439 1.408 8.850
```

## Properties
**Volume**: 192.6 Å³ per cell
**Formation energy without anion corrections**: -3.20 eV per atom
**Theoretical density**: 4.50 g/cm³

---

# 8
# LaYOs2

Crystalline LaYOs2 at its relaxed geometry (PBEsol, Alexandria). Values from VASP.

Quantum ESPRESSO input file:
```
&SYSTEM
  ibrav = 0, nat = 4, ntyp = 3
/
ATOMIC_SPECIES
La 138.91 La.upf
Y 88.91 Y.upf
Os 190.23 Os.upf
CELL_PARAMETERS angstrom
3.437 0.000 0.000
0.000 3.437 0.000
0.000 0.000 6.844
ATOMIC_POSITIONS angstrom
La 0.000 0.000 0.000
Y 0.000 0.000 3.422
Os 1.718 1.718 1.739
Os 1.718 1.718 5.105
```

## Properties
**Volume**: 80.8 Å³ per cell
**Energy relative to the elements**: 180 meV/atom
**Theoretical density**: 12.49 g/cm³

---

# 9
# Rb3H5Pt

Crystalline Rb3H5Pt at its relaxed geometry (PBEsol, Alexandria). Values from VASP.

Quantum ESPRESSO input file:
```
&SYSTEM
  ibrav = 0, nat = 18, ntyp = 3
/
ATOMIC_SPECIES
Rb 85.47 Rb.upf
H 1.01 H.upf
Pt 195.08 Pt.upf
CELL_PARAMETERS angstrom
7.555 0.000 0.000
0.000 7.555 0.000
0.000 0.000 5.835
ATOMIC_POSITIONS angstrom
Rb 0.000 0.000 0.000
Rb 1.392 2.385 2.918
Rb 2.385 6.162 2.918
Rb 3.777 3.777 0.000
Rb 5.170 1.392 2.918
Rb 6.162 5.170 2.918
H 0.000 0.000 2.918
H 0.838 4.615 1.150
H 0.838 4.615 4.685
H 2.940 0.838 1.150
H 2.940 0.838 4.685
H 3.777 3.777 2.918
H 4.615 6.717 1.150
H 4.615 6.717 4.685
H 6.717 2.940 1.150
H 6.717 2.940 4.685
Pt 0.000 3.777 0.000
Pt 3.777 0.000 0.000
```

## Properties
**Volume**: 333.1 Å³ per cell
**E_tot**: -3.2754 eV/atom
**Theoretical density**: 4.55 g/cm³

---

# 10
# K2RbInCl6

Crystalline K2RbInCl6 at its relaxed geometry (PBEsol, Alexandria). Values from VASP.

Quantum ESPRESSO input file:
```
&SYSTEM
  ibrav = 0, nat = 10, ntyp = 4
/
ATOMIC_SPECIES
K 39.10 K.upf
Rb 85.47 Rb.upf
In 114.82 In.upf
Cl 35.45 Cl.upf
CELL_PARAMETERS angstrom
0.000 5.500 5.500
5.500 0.000 5.500
5.500 5.500 0.000
ATOMIC_POSITIONS angstrom
K 2.750 2.750 2.750
K 8.250 8.250 8.250
Rb 0.000 0.000 0.000
In 5.500 5.500 5.500
Cl 5.500 5.500 2.999
Cl 5.500 2.999 5.500
Cl 8.001 5.500 5.500
Cl 2.999 5.500 5.500
Cl 5.500 8.001 5.500
Cl 5.500 5.500 8.001
```

## Properties
**Volume**: 332.8 Å³ per cell
**Formation energy without anion corrections**: -1.56 eV per atom
**Theoretical density**: 2.45 g/cm³

---

# 11
# NaTl2Pd2

Crystalline NaTl2Pd2 at its relaxed geometry (PBEsol, Alexandria). Values from VASP.

Quantum ESPRESSO input file:
```
&SYSTEM
  ibrav = 0, nat = 10, ntyp = 3
/
ATOMIC_SPECIES
Na 22.99 Na.upf
Tl 204.38 Tl.upf
Pd 106.42 Pd.upf
CELL_PARAMETERS angstrom
8.013 0.000 0.000
0.000 8.013 0.000
0.000 0.000 3.101
ATOMIC_POSITIONS angstrom
Na 0.000 0.000 0.000
Na 4.006 4.006 0.000
Tl 1.180 2.827 0.000
Tl 2.827 6.833 0.000
Tl 5.186 1.180 0.000
Tl 6.833 5.186 0.000
Pd 1.204 5.211 1.550
Pd 2.802 1.204 1.550
Pd 5.211 6.808 1.550
Pd 6.808 2.802 1.550
```

## Properties
**Volume**: 199.1 Å³ per cell
**Energy relative to the elements**: -173 meV/atom
**Theoretical density**: 10.75 g/cm³

---

# 12
# Co5Ru

Crystalline Co5Ru at its relaxed geometry (PBEsol, Alexandria). Values from VASP.

Quantum ESPRESSO input file:
```
&SYSTEM
  ibrav = 0, nat = 6, ntyp = 2
/
ATOMIC_SPECIES
Co 58.93 Co.upf
Ru 101.07 Ru.upf
CELL_PARAMETERS angstrom
4.534 -1.254 0.000
4.534 1.254 0.000
-1.470 0.000 5.700
ATOMIC_POSITIONS angstrom
Co 0.000 0.000 0.000
Co -0.384 0.000 3.429
Co 2.092 0.000 3.757
Co 3.161 0.000 1.601
Co 5.580 0.000 1.910
Ru 5.170 0.000 5.362
```

## Properties
**Volume**: 64.8 Å³ per cell
**Energy relative to the elements**: 88 meV/atom
**Theoretical density**: 10.13 g/cm³